Here is crystalline BeZn2Cu at its relaxed geometry from Alexandria via LeMat-Bulk. Energies are from GGA-PBEsol.

a b c (Å): 2.898 4.004 4.691
angles (deg): 115.27 107.99 90.00
Atoms (fractional coordinates):
1 Be 0.509 0.509 0.019
2 Zn 0.994 0.994 0.989
3 Zn 0.764 0.264 0.529
4 Cu 0.232 0.732 0.464

Properties
For the total magnetic moment, the calculation gives 0.000 μB per atom. The energy of formation from the pure elements is 0.01 eV/f.u. As for the space group: Imm2. For the total energy, the calculation gives -11.49 eV for the cell shown. The density of states at the Fermi level is 0.666 states/eV per cell.

=====

Here is crystalline BeZnCu2 at its relaxed geometry from Alexandria via LeMat-Bulk. Energies are from GGA-PBEsol.

a b c (Å): 2.694 2.694 6.031
angles (deg): 90.00 90.00 90.00
Atoms (fractional coordinates):
1 Be 0.500 0.500 0.771
2 Zn 0.000 0.000 0.518
3 Cu 0.000 0.000 0.971
4 Cu 0.500 0.500 0.241

Properties
For the total magnetic moment, the calculation gives 0.000 μB per atom. As for the relative energy among the computed polymorphs: 0.018 eV/atom. The energy of formation from the pure elements is -0.13 eV/f.u. As for the space group: P4mm. For the total energy, the calculation gives -14.38 eV for the cell shown. The density of states at the Fermi level is 1.136 states/eV per cell.

=====

Here is crystalline BeZnCu at its relaxed geometry from Alexandria via LeMat-Bulk. Energies are from GGA-PBEsol.

a b c (Å): 3.742 3.742 3.742
angles (deg): 60.00 60.00 60.00
Atoms (fractional coordinates):
1 Be 0.250 0.250 0.250
2 Zn 0.500 0.500 0.500
3 Cu 0.000 0.000 0.000

Properties
For the total magnetic moment, the calculation gives 0.000 μB per atom. The energy of formation from the pure elements is 0.74 eV/f.u. As for the space group: F-43m. For the total energy, the calculation gives -9.17 eV for the cell shown. The density of states at the Fermi level is 1.167 states/eV per cell.